Computed, not measured: PaAlFe4 after structural relaxation at the PBE-GGA level of DFT.

Results
Density   9332 kg/m³
Electronic total energy   -48.02 eV/cell
Formation enthalpy at 0 K   -0.1556 eV/atom
Size of the total moment   6.627 μB/f.u.

Cell: 4.9480 4.9480 4.9480 Å, 60.00 60.00 60.00°
Positions (direct):
Pa 0.0000 0.0000 0.0000
Al 0.2500 0.2500 0.2500
Fe 0.1276 0.6241 0.6241
Fe 0.6241 0.1276 0.6241
Fe 0.6241 0.6241 0.1276
Fe 0.6241 0.6241 0.6241